This record from Alexandria via LeMat-Bulk describes crystalline CoAuSe2 at its relaxed geometry. The functional is PBE.

Summary:
* N(E_F): 5.66 states/eV/cell
* theoretical density: 9.6 g cm⁻³
* volume: 17.82 Å³ per atom
* energy relative to the elements, uncorrected: 665 meV/atom
* uncorrected energy: -3.67 eV/atom
* spin magnetization: 1.8 μB/f.u.

Cell: 4.6543 4.6543 4.6543 Å, 60.00 60.00 60.00°
Site moments in Bohr magnetons follow the coordinates.
Element x y z (fractional)
Se1 0.2500 0.2500 0.2500  0.02
Se2 0.0000 0.0000 0.0000  0.00
Au1 0.5000 0.5000 0.5000  0.02
Co1 0.7500 0.7500 0.7500  1.80